Record 1
Density functional theory data (PBE) for Ba2Li4InSb3 after structural relaxation.

a = 4.8171 Å, b = 4.8171 Å, c = 11.6637 Å
α = 90.00°, β = 90.00°, γ = 90.00°
Fractional positions:
Ba 0.0000 0.5000 0.2358
Ba 0.5000 0.0000 0.7642
Li 0.0000 0.0000 0.0000
Li 0.0000 0.5000 0.6341
Li 0.5000 0.0000 0.3659
Li 0.5000 0.5000 0.0000
In 0.0000 0.0000 0.5000
Sb 0.0000 0.5000 0.8680
Sb 0.5000 0.0000 0.1320
Sb 0.5000 0.5000 0.5000

Summary:
The energy comes out at -3.369 eV/atom. For the uncorrected formation energy, the calculation gives -0.7080 eV per atom.

***

Record 2
Density functional theory data (PBE) for Ba2Li3InSb4 after structural relaxation.

a = 4.9465 Å, b = 4.9465 Å, c = 11.5921 Å
α = 90.00°, β = 90.00°, γ = 90.00°
Fractional positions:
Ba 0.0000 0.5000 0.2358
Ba 0.5000 0.0000 0.7642
Li 0.0000 0.5000 0.8797
Li 0.5000 0.0000 0.1203
Li 0.5000 0.5000 0.5000
In 0.0000 0.0000 0.5000
Sb 0.0000 0.0000 0.0000
Sb 0.0000 0.5000 0.6395
Sb 0.5000 0.0000 0.3605
Sb 0.5000 0.5000 0.0000

Summary:
The energy comes out at -3.606 eV/atom. For the uncorrected formation energy, the calculation gives -0.7242 eV per atom.

***

Record 3
Density functional theory data (PBE) for Ba2LiIn4Sn3 after structural relaxation.

a = 5.0320 Å, b = 5.0320 Å, c = 12.3607 Å
α = 90.00°, β = 90.00°, γ = 90.00°
Fractional positions:
Ba 0.0000 0.5000 0.2479
Ba 0.5000 0.0000 0.7521
Li 0.5000 0.5000 0.0000
In 0.0000 0.0000 0.5000
In 0.0000 0.5000 0.8735
In 0.5000 0.0000 0.1265
In 0.5000 0.5000 0.5000
Sn 0.0000 0.0000 0.0000
Sn 0.0000 0.5000 0.6372
Sn 0.5000 0.0000 0.3628

Summary:
The energy comes out at -3.222 eV/atom.

***

Record 4
Density functional theory data (PBE) for BaLiInSn after structural relaxation.

a = 5.5022 Å, b = 5.5022 Å, c = 5.5022 Å
α = 60.00°, β = 60.00°, γ = 60.00°
Fractional positions:
Ba 0.0000 0.0000 0.0000
Li 0.2500 0.2500 0.2500
In 0.7500 0.7500 0.7500
Sn 0.5000 0.5000 0.5000

Summary:
The energy comes out at -2.953 eV/atom.

***

Record 5
Density functional theory data (PBE) for Ba2LiIn6Sn after structural relaxation.

a = 13.9950 Å, b = 13.9950 Å, c = 13.9950 Å
α = 30.26°, β = 30.26°, γ = 30.26°
Fractional positions:
Ba 0.1052 0.1052 0.1052
Ba 0.2768 0.2768 0.2768
Ba 0.7232 0.7232 0.7232
Ba 0.8948 0.8948 0.8948
Li 0.0000 0.0000 0.0000
Li 0.5000 0.5000 0.5000
In 0.0837 0.6669 0.6669
In 0.2191 0.2191 0.6449
In 0.2191 0.6449 0.2191
In 0.3331 0.3331 0.9163
In 0.3331 0.9163 0.3331
In 0.3551 0.7809 0.7809
In 0.6449 0.2191 0.2191
In 0.6669 0.0837 0.6669
In 0.6669 0.6669 0.0837
In 0.7809 0.3551 0.7809
In 0.7809 0.7809 0.3551
In 0.9163 0.3331 0.3331
Sn 0.4251 0.4251 0.4251
Sn 0.5749 0.5749 0.5749

Summary:
The energy comes out at -2.893 eV/atom.

***

Record 6
Density functional theory data (PBE) for Ba2LiInSn6 after structural relaxation.

a = 14.1181 Å, b = 14.1181 Å, c = 14.1181 Å
α = 30.05°, β = 30.05°, γ = 30.05°
Fractional positions:
Ba 0.1076 0.1076 0.1076
Ba 0.2827 0.2827 0.2827
Ba 0.7173 0.7173 0.7173
Ba 0.8924 0.8924 0.8924
Li 0.0000 0.0000 0.0000
Li 0.5000 0.5000 0.5000
In 0.4281 0.4281 0.4281
In 0.5719 0.5719 0.5719
Sn 0.0764 0.6698 0.6698
Sn 0.2262 0.2262 0.6434
Sn 0.2262 0.6434 0.2262
Sn 0.3302 0.3302 0.9236
Sn 0.3302 0.9236 0.3302
Sn 0.3566 0.7738 0.7738
Sn 0.6434 0.2262 0.2262
Sn 0.6698 0.0764 0.6698
Sn 0.6698 0.6698 0.0764
Sn 0.7738 0.3566 0.7738
Sn 0.7738 0.7738 0.3566
Sn 0.9236 0.3302 0.3302

Summary:
The energy comes out at -3.582 eV/atom.

***

Record 7
Density functional theory data (PBE) for Ba2Li4InSn3 after structural relaxation.

a = 4.8472 Å, b = 4.8472 Å, c = 11.5687 Å
α = 90.00°, β = 90.00°, γ = 90.00°
Fractional positions:
Ba 0.0000 0.5000 0.2376
Ba 0.5000 0.0000 0.7624
Li 0.0000 0.0000 0.0000
Li 0.0000 0.5000 0.6381
Li 0.5000 0.0000 0.3619
Li 0.5000 0.5000 0.0000
In 0.0000 0.0000 0.5000
Sn 0.0000 0.5000 0.8815
Sn 0.5000 0.0000 0.1185
Sn 0.5000 0.5000 0.5000

Summary:
The energy comes out at -3.033 eV/atom.

***

Record 8
Density functional theory data (PBE) for BaLiInSn2 after structural relaxation.

a = 7.1087 Å, b = 7.1087 Å, c = 7.1087 Å
α = 139.71°, β = 139.71°, γ = 58.30°
Fractional positions:
Ba 0.0000 0.0000 0.0000
Li 0.2500 0.7500 0.5000
In 0.7500 0.2500 0.5000
Sn 0.3831 0.3831 0.0000
Sn 0.6169 0.6169 0.0000

Summary:
The energy comes out at -3.383 eV/atom.

***

The records above give, respectively, mass density values of 4.80 5.25 5.82 5.33 5.86 5.89 4.72 5.54 g cm⁻³.